The following is a DFT calculation (PBE) of Li2ZnAg2 after structural relaxation.

Cell: 5.0499 5.1140 7.2765 Å, 110.57 110.30 90.00°
Fractional positions:
Li1 0.1034 0.2245 0.2068
Li2 0.8966 0.7755 0.7932
Zn1 0.2500 0.5000 0.0000
Li3 0.6034 0.9823 0.2068
Ag1 0.8131 0.1689 0.6262
Li4 0.3966 0.0177 0.7932
Ag2 0.3131 0.4573 0.6262
Ag3 0.1869 0.8311 0.3738
Ag4 0.6869 0.5427 0.3738
Zn2 0.7500 0.5000 0.0000

Summary:
Relative energy among the computed polymorphs (eV/atom): 0.067

---

The following is a DFT calculation (PBE) of Tl2CdSb2 after structural relaxation.

Cell: 7.6424 7.6424 5.4263 Å, 90.00 90.00 90.00°
Fractional positions:
Cd1 0.5000 0.5000 0.0000
Tl1 0.6723 0.8277 0.5000
Sb1 0.6350 0.1350 0.0000
Tl2 0.8277 0.3277 0.5000
Tl3 0.1723 0.6723 0.5000
Sb2 0.1350 0.3650 0.0000
Sb3 0.8650 0.6350 0.0000
Tl4 0.3277 0.1723 0.5000
Sb4 0.3650 0.8650 0.0000
Cd2 0.0000 0.0000 0.0000

Summary:
Raw formation energy (eV per atom): 0.022
Relative energy among the computed polymorphs (eV/atom): 0.000

---

The following is a DFT calculation (PBE) of AcMg2CdPb2 after structural relaxation.

Cell: 4.9475 9.3976 7.4665 Å, 90.00 90.00 90.00°
Fractional positions:
Ac1 0.0000 0.0000 0.5000
Mg1 0.0000 0.3581 0.6698
Pb1 0.0000 0.3219 0.2539
Cd1 0.5000 0.5000 0.5000
Pb2 0.5000 0.8219 0.2461
Ac2 0.5000 0.5000 0.0000
Pb3 0.0000 0.6781 0.7461
Mg2 0.0000 0.6419 0.3302
Mg3 0.5000 0.1419 0.1698
Cd2 0.0000 0.0000 0.0000
Pb4 0.5000 0.1781 0.7539
Mg4 0.5000 0.8581 0.8302

Summary:
Uncorrected energy (eV/atom): -2.84

---

The following is a DFT calculation (PBE) of La5Br3 after structural relaxation.

Cell: 6.6920 6.6920 5.7552 Å, 90.00 90.00 111.75°
Fractional positions:
La1 0.7529 0.7529 0.5000
La2 0.2471 0.2471 0.5000
La3 0.0000 0.0000 0.0000
Br1 0.2636 0.7364 0.5000
Br2 0.5000 0.5000 0.0000
La4 0.5000 0.0000 0.0000
Br3 0.7364 0.2636 0.5000
La5 0.0000 0.5000 0.0000

Summary:
Raw formation energy (eV per atom): -0.657

---

The following is a DFT calculation (PBE) of TaAsOs2 after structural relaxation.

Cell: 8.9776 8.9776 8.9776 Å, 18.27 18.27 18.27°
Fractional positions:
Ta1 0.4991 0.4991 0.4991
As1 0.7462 0.7462 0.7462
Os1 0.2540 0.2540 0.2540
Os2 0.0007 0.0007 0.0007

Summary:
Uncorrected energy (eV/atom): -9.54

---

The following is a DFT calculation (PBE) of PrNd2PbC after structural relaxation.

Cell: 5.1807 5.1396 5.1396 Å, 90.00 90.00 90.00°
Fractional positions:
Pb1 0.5000 0.5000 0.5000
Nd1 0.0000 0.5000 0.0000
C1 0.0000 0.0000 0.0000
Nd2 0.0000 0.0000 0.5000
Pr1 0.5000 0.0000 0.0000

Summary:
Uncorrected energy (eV/atom): -5.84

---

Respective volume values: 163 317 347 239 62 137 Å³/cell.
Respective ρ values: 6.00 8.01 7.68 6.48 17.01 7.87 g cm⁻³.